1.
LiThB2O6 after structural relaxation, computed with PBE.

Calculated values
- Formation energy (no corrections): -25.544 eV/f.u.
- Total energy: -7.798 eV per atom
- Total moment: 0.103 μB/atom
- Symmetry: R-3 (148)

```
LiThB2O6
1.0
2.5025 1.4448 5.5057
-2.5025 1.4448 5.5057
0.0000 -2.8896 5.5057
Li Th B O
1 1 2 6
direct
0.0000 0.0000 0.0000 Li
0.5000 0.5000 0.5000 Th
0.2537 0.2537 0.2537 B
0.7463 0.7463 0.7463 B
0.0179 0.4673 0.7613 O
0.2387 0.9821 0.5327 O
0.4673 0.7613 0.0179 O
0.5327 0.2387 0.9821 O
0.7613 0.0179 0.4673 O
0.9821 0.5327 0.2387 O
```

***

2.
Li6TmB3O9 after structural relaxation, computed with PBE.

Calculated values
- Formation energy (no corrections): -47.390 eV/f.u.
- Total energy: -6.737 eV per atom
- Total moment: 0.000 μB/atom
- Symmetry: P2_1/c (14)

```
Li6TmB3O9
1.0
7.2148 0.0000 0.0000
0.0000 16.4625 0.0000
-1.7550 0.0000 6.4322
Li Tm B O
24 4 12 36
direct
0.0462 0.0302 0.1701 Li
0.0462 0.4698 0.6701 Li
0.0639 0.7051 0.0447 Li
0.0639 0.7949 0.5447 Li
0.1933 0.5351 0.0560 Li
0.1933 0.9649 0.5560 Li
0.2158 0.2059 0.8650 Li
0.2158 0.2941 0.3650 Li
0.3645 0.0539 0.9121 Li
0.3645 0.4461 0.4121 Li
0.4285 0.0047 0.3236 Li
0.4285 0.4953 0.8236 Li
0.5715 0.5047 0.1764 Li
0.5715 0.9953 0.6764 Li
0.6355 0.5539 0.5879 Li
0.6355 0.9461 0.0879 Li
0.7842 0.7059 0.6350 Li
0.7842 0.7941 0.1350 Li
0.8067 0.0351 0.4440 Li
0.8067 0.4649 0.9440 Li
0.9361 0.2051 0.4553 Li
0.9361 0.2949 0.9553 Li
0.9538 0.5302 0.3299 Li
0.9538 0.9698 0.8299 Li
0.4204 0.6901 0.8469 Tm
0.4204 0.8099 0.3469 Tm
0.5796 0.1901 0.6531 Tm
0.5796 0.3099 0.1531 Tm
0.0624 0.6161 0.6903 B
0.0624 0.8839 0.1903 B
0.2159 0.1218 0.5021 B
0.2159 0.3782 0.0021 B
0.4156 0.6363 0.3383 B
0.4156 0.8637 0.8383 B
0.5844 0.1363 0.1617 B
0.5844 0.3637 0.6617 B
0.7841 0.6218 0.9979 B
0.7841 0.8782 0.4979 B
0.9376 0.1161 0.8097 B
0.9376 0.3839 0.3097 B
0.0383 0.0892 0.4147 O
0.0383 0.4108 0.9147 O
0.0826 0.6990 0.7309 O
0.0826 0.8010 0.2309 O
0.1054 0.0799 0.9223 O
0.1054 0.4201 0.4223 O
0.2257 0.5693 0.7717 O
0.2257 0.9307 0.2717 O
0.2433 0.2034 0.5599 O
0.2433 0.2966 0.0599 O
0.3585 0.6865 0.1649 O
0.3585 0.8135 0.6649 O
0.3829 0.0752 0.5444 O
0.3829 0.4248 0.0444 O
0.4101 0.5536 0.3239 O
0.4101 0.9464 0.8239 O
0.4886 0.6746 0.5296 O
0.4886 0.8254 0.0296 O
0.5114 0.1746 0.9704 O
0.5114 0.3254 0.4704 O
0.5899 0.0536 0.1761 O
0.5899 0.4464 0.6761 O
0.6171 0.5752 0.9556 O
0.6171 0.9248 0.4556 O
0.6415 0.1865 0.3351 O
0.6415 0.3135 0.8351 O
0.7567 0.7034 0.9401 O
0.7567 0.7966 0.4401 O
0.7743 0.0693 0.7283 O
0.7743 0.4307 0.2283 O
0.8946 0.5799 0.5777 O
0.8946 0.9201 0.0777 O
0.9174 0.1990 0.7691 O
0.9174 0.3010 0.2691 O
0.9617 0.5892 0.0853 O
0.9617 0.9108 0.5853 O
```

***

3.
LiTm2BO5 after structural relaxation, computed with PBE.

Calculated values
- Formation energy (no corrections): -25.908 eV/f.u.
- Total energy: -7.581 eV per atom
- Total moment: 0.000 μB/atom
- Symmetry: Cmc2_1 (36)

```
LiTm2BO5
1.0
1.5217 -6.4514 0.0000
1.5217 6.4514 0.0000
0.0000 0.0000 9.3215
Li Tm B O
2 4 2 10
direct
0.1914 0.8086 0.5000 Li
0.8086 0.1914 0.0000 Li
0.1240 0.8760 0.1478 Tm
0.1376 0.8624 0.7990 Tm
0.8624 0.1376 0.2990 Tm
0.8760 0.1240 0.6478 Tm
0.4424 0.5576 0.8819 B
0.5576 0.4424 0.3819 B
0.0284 0.9716 0.4612 O
0.2942 0.7058 0.1620 O
0.3359 0.6641 0.8435 O
0.3448 0.6552 0.4835 O
0.4964 0.5036 0.2507 O
0.5036 0.4964 0.7507 O
0.6552 0.3448 0.9835 O
0.6641 0.3359 0.3435 O
0.7058 0.2942 0.6620 O
0.9716 0.0284 0.9612 O
```

***

4.
LiUB2O6 after structural relaxation, computed with PBE.

Calculated values
- Formation energy (no corrections): -25.994 eV/f.u.
- Total energy: -8.230 eV per atom
- Total moment: 0.100 μB/atom
- Symmetry: C2/c (15)

```
LiUB2O6
1.0
4.6391 -4.5230 0.0000
4.6391 4.5230 0.0000
-1.1366 0.0000 4.5761
Li U B O
2 2 4 12
direct
0.0640 0.9360 0.7500 Li
0.9360 0.0640 0.2500 Li
0.2955 0.7045 0.2500 U
0.7045 0.2955 0.7500 U
0.2017 0.3638 0.7151 B
0.3638 0.2017 0.2151 B
0.6362 0.7983 0.7849 B
0.7983 0.6362 0.2849 B
0.0220 0.2287 0.6506 O
0.1504 0.5817 0.8416 O
0.2287 0.0220 0.1506 O
0.2988 0.3787 0.4479 O
0.3787 0.2988 0.9479 O
0.4183 0.8496 0.6584 O
0.5817 0.1504 0.3416 O
0.6213 0.7012 0.0521 O
0.7012 0.6213 0.5521 O
0.7713 0.9780 0.8494 O
0.8496 0.4183 0.1584 O
0.9780 0.7713 0.3494 O
```

***

5.
Li2UBO6 after structural relaxation, computed with PBE.

Calculated values
- Formation energy (no corrections): -21.316 eV/f.u.
- Total energy: -7.286 eV per atom
- Total moment: 0.072 μB/atom
- Symmetry: C2/m (12)

```
Li2UBO6
1.0
4.7703 -2.5670 0.0000
4.7703 2.5670 0.0000
-1.6624 0.0000 4.6036
Li U B O
2 1 1 6
direct
0.2376 0.2376 0.1343 Li
0.7624 0.7624 0.8657 Li
0.0000 0.0000 0.5000 U
0.5000 0.5000 0.0000 B
0.1937 0.1937 0.4956 O
0.2149 0.6357 0.1300 O
0.3643 0.7851 0.8700 O
0.6357 0.2149 0.1300 O
0.7851 0.3643 0.8700 O
0.8063 0.8063 0.5044 O
```